(1)
A plane-wave DFT calculation with GGA-PBE was carried out for a relaxed structure of LaAgPbSe3.

Geometry as POSCAR:
```
LaAgPbSe3
1.0
7.947 0.000 0.000
0.000 4.272 0.000
-2.472 0.000 9.904
La Ag Pb Se
2 2 2 6
Cartesian
1.242 1.068 1.568 La
4.232 3.204 8.337 La
2.226 3.204 4.118 Ag
3.248 1.068 5.787 Ag
0.153 3.204 6.903 Pb
5.321 1.068 3.001 Pb
-1.583 1.068 8.482 Se
0.575 1.068 4.554 Se
3.323 3.204 1.689 Se
2.152 1.068 8.216 Se
4.899 3.204 5.351 Se
7.057 3.204 1.423 Se
```

For the mass density, the calculation gives 6.8 g/cm³. Its space-group type is P2_1/m.

=====

(2)
A plane-wave DFT calculation with GGA-PBE was carried out for a relaxed structure of LaAgPbSe3.

Geometry as POSCAR:
```
LaAgPbSe3
1.0
8.629 0.000 0.000
0.000 4.422 0.000
0.000 0.000 17.044
La Ag Pb Se
4 4 4 12
Cartesian
2.079 1.105 0.573 La
2.235 3.316 9.095 La
6.394 1.105 7.949 La
6.549 3.316 16.471 La
1.023 1.105 6.244 Ag
3.291 3.316 14.766 Ag
5.338 1.105 2.278 Ag
7.605 3.316 10.800 Ag
0.682 1.105 13.079 Pb
3.632 3.316 4.557 Pb
4.997 1.105 12.487 Pb
7.946 3.316 3.965 Pb
0.273 1.105 10.060 Se
0.944 3.316 15.961 Se
1.670 1.105 3.641 Se
2.644 3.316 12.164 Se
3.371 1.105 7.439 Se
4.042 3.316 1.538 Se
4.587 1.105 15.506 Se
5.258 3.316 9.605 Se
5.985 1.105 4.881 Se
6.958 3.316 13.403 Se
7.685 1.105 1.083 Se
8.356 3.316 6.984 Se
```

For the mass density, the calculation gives 7.1 g/cm³. Its space-group type is Pnma.

=====

Calculated total DFT energy (no corrections) in order - -0.172, -0.172 hartree per atom